First-principles (PBE-GGA) data for crystalline ErPa5 at its relaxed geometry, as listed in Alexandria.

Cell and atoms, written as POSCAR:
```
ErPa5
1.0
5.587 0.000 0.000
0.000 16.861 0.000
0.000 0.000 3.239
Er Pa
2 10
Cartesian
0.000 0.000 0.000
2.794 8.431 0.000
0.000 2.991 1.619
0.000 5.731 0.000
0.000 8.431 1.619
0.000 11.131 0.000
0.000 13.870 1.619
2.794 0.000 1.619
2.794 2.700 0.000
2.794 5.439 1.619
2.794 11.422 1.619
2.794 14.162 0.000
```

Results
Total DFT energy (no corrections) = -8.56 eV per atom
Symmetry = Cmmm
Formation enthalpy at 0 K = 0.12 eV/atom